Version i
# Dy3Y2Er7 PBE relaxed
# SG	P2/m (10)
# M_tot	0.00	μB/f.u.
data_Dy3Y2Er7
_chemical_formula_sum 'Dy3 Y2 Er7'
_cell_length_a 3.489
_cell_length_b 6.279
_cell_length_c 17.751
_cell_angle_alpha 75.62
_cell_angle_beta 90.00
_cell_angle_gamma 90.00
_space_group_name_H-M_alt 'P 1'
_space_group_IT_number 1
loop_
_space_group_symop_operation_xyz
'x,y,z'
loop_
_atom_site_label
_atom_site_type_symbol
_atom_site_fract_x
_atom_site_fract_y
_atom_site_fract_z
Y1 Y 0.500 0.386 0.674
Y2 Y 0.500 0.614 0.326
Er1 Er 0.000 0.439 0.835
Er2 Er 0.500 0.941 0.833
Er3 Er 0.000 0.000 0.000
Er4 Er 0.500 0.244 0.501
Er5 Er 0.500 0.059 0.167
Er6 Er 0.000 0.561 0.165
Er7 Er 0.500 0.756 0.499
Dy1 Dy 0.000 0.893 0.657
Dy2 Dy 0.500 0.500 0.000
Dy3 Dy 0.000 0.107 0.343

---

Version ii
# Dy3Y2Er7 PBE relaxed
# SG	Cmmm (65)
# M_tot	0.00	μB/f.u.
data_Dy3Y2Er7
_chemical_formula_sum 'Dy3 Y2 Er7'
_cell_length_a 3.565
_cell_length_b 5.637
_cell_length_c 18.986
_cell_angle_alpha 98.54
_cell_angle_beta 90.00
_cell_angle_gamma 90.00
_space_group_name_H-M_alt 'P 1'
_space_group_IT_number 1
loop_
_space_group_symop_operation_xyz
'x,y,z'
loop_
_atom_site_label
_atom_site_type_symbol
_atom_site_fract_x
_atom_site_fract_y
_atom_site_fract_z
Er1 Er 0.000 0.000 0.000
Er2 Er 0.000 0.409 0.817
Er3 Er 0.500 0.071 0.143
Er4 Er 0.000 0.591 0.183
Er5 Er 0.500 0.929 0.857
Er6 Er 0.000 0.231 0.462
Er7 Er 0.000 0.769 0.538
Dy1 Dy 0.500 0.500 0.000
Dy2 Dy 0.500 0.315 0.629
Dy3 Dy 0.500 0.685 0.371
Y1 Y 0.000 0.853 0.706
Y2 Y 0.000 0.147 0.294

---

Which one sits at the top of the stability order? version i does.

---

Version i
# Dy2YEr8 PBE relaxed
# SG	Immm (71)
# M_tot	0.00	μB/f.u.
data_Dy2YEr8
_chemical_formula_sum 'Dy2 Y1 Er8'
_cell_length_a 5.449
_cell_length_b 8.082
_cell_length_c 9.246
_cell_angle_alpha 115.91
_cell_angle_beta 107.14
_cell_angle_gamma 90.00
_space_group_name_H-M_alt 'P 1'
_space_group_IT_number 1
loop_
_space_group_symop_operation_xyz
'x,y,z'
loop_
_atom_site_label
_atom_site_type_symbol
_atom_site_fract_x
_atom_site_fract_y
_atom_site_fract_z
Er1 Er 0.000 0.705 0.000
Er2 Er 0.639 0.846 0.278
Er3 Er 0.161 0.161 0.321
Er4 Er 0.639 0.432 0.278
Er5 Er 0.839 0.839 0.679
Er6 Er 0.000 0.295 0.000
Er7 Er 0.361 0.568 0.722
Er8 Er 0.361 0.154 0.722
Dy1 Dy 0.798 0.299 0.597
Dy2 Dy 0.202 0.701 0.403
Y1 Y 0.500 0.000 0.000

---

Version ii
# Dy2YEr8 PBE relaxed
# SG	C2/m (12)
# M_tot	0.00	μB/f.u.
data_Dy2YEr8
_chemical_formula_sum 'Dy2 Y1 Er8'
_cell_length_a 5.861
_cell_length_b 9.060
_cell_length_c 9.440
_cell_angle_alpha 61.32
_cell_angle_beta 73.05
_cell_angle_gamma 52.59
_space_group_name_H-M_alt 'P 1'
_space_group_IT_number 1
loop_
_space_group_symop_operation_xyz
'x,y,z'
loop_
_atom_site_label
_atom_site_type_symbol
_atom_site_fract_x
_atom_site_fract_y
_atom_site_fract_z
Er1 Er 0.718 0.545 0.000
Er2 Er 0.795 0.097 0.251
Er3 Er 0.500 0.797 0.406
Er4 Er 0.205 0.903 0.749
Er5 Er 0.795 0.349 0.749
Er6 Er 0.205 0.651 0.251
Er7 Er 0.282 0.455 0.000
Er8 Er 0.500 0.203 0.594
Dy1 Dy 0.000 0.690 0.621
Dy2 Dy 0.000 0.310 0.379
Y1 Y 0.500 0.000 0.000

---

Which one sits at the top of the stability order? version i does.